# SrInPbF2 | Alexandria via LeMat-Bulk | PBE-GGA | optimized geometry
data_SrInPbF2
_cell_length_a 4.758
_cell_length_b 4.758
_cell_length_c 6.897
_cell_angle_alpha 90.00
_cell_angle_beta 90.00
_cell_angle_gamma 90.00
_symmetry_space_group_name_H-M 'P 4/m m m'
_symmetry_Int_Tables_number 123
_symmetry_space_group_name_Hall '-P 4 2'
loop_
_atom_site_label
_atom_site_type_symbol
_atom_site_fract_x
_atom_site_fract_y
_atom_site_fract_z
_atom_site_occupancy
Sr1 Sr 0.000 0.000 0.000 1
In1 In 0.000 0.000 0.500 1
Pb1 Pb 0.500 0.500 0.000 1
F1 F 0.000 0.500 0.500 1
# Magnetization ... 0.0 μB per formula unit
# Crystal system ... tetragonal
# Energy relative to the elements, uncorrected ... -1.008 eV per atom